Density functional theory data (PBE+U) for a relaxed structure of Li2Co3F8.

Cell and atoms, written as CIF:
```
data_Li2Co3F8
_chemical_formula_sum 'Li4 Co6 F16'
_symmetry_space_group_name_H-M 'C 1 2/m 1'
_symmetry_Int_Tables_number 12
_symmetry_space_group_name_Hall '-C 2y'
_cell_length_a 9.7813
_cell_length_b 6.0420
_cell_length_c 5.3456
_cell_angle_alpha 90.00
_cell_angle_beta 99.09
_cell_angle_gamma 90.00
loop_
_atom_site_label
_atom_site_type_symbol
_atom_site_fract_x
_atom_site_fract_y
_atom_site_fract_z
_atom_site_occupancy
Li1 Li 0.2026 0.0000 0.0668 1
Co1 Co 0.0000 0.2429 0.5000 1
Co2 Co 0.0000 0.5000 0.0000 1
F1 F 0.1060 0.0000 0.3547 1
F2 F 0.1057 0.5000 0.3584 1
F3 F 0.1243 0.2694 0.8574 1
```

Calculated values
Uncorrected energy   -64.61 eV/f.u.
M_tot   18.0 μB per cell